1.
A geometry-optimized ReBr4Cl structure. Source: Alexandria, functional GGA-PBE.

Results
total energy = -2.1557 eV per atom
formation energy (no corrections) = 1.342 eV per atom

Cell: 8.6164 8.6164 8.6164 Å, 90.00 90.00 90.00°
Space group F-43m (No. 216)
One atom of each set of equivalent atoms:
1 Re 0.0000 0.0000 0.0000 (multiplicity 4)
2 Br 0.1255 0.1255 0.6255 (multiplicity 16)
3 Cl 0.2500 0.2500 0.2500 (multiplicity 4)



2.
A geometry-optimized BC2 structure. Source: Alexandria, functional GGA-PBE.

Results
total energy = -8.0280 eV per atom
DFT formation energy = 0.35 eV/atom

Cell: 13.2565 2.5328 4.6628 Å, 90.00 103.86 90.00°
Space group Cm (No. 8)
One atom of each set of equivalent atoms:
1 B 0.0000 0.0000 0.0000 (multiplicity 2)
2 B 0.0567 0.5000 0.2461 (multiplicity 2)
3 B 0.2127 0.5000 0.0234 (multiplicity 2)
4 B 0.3560 0.5000 0.8552 (multiplicity 2)
5 C 0.0047 0.5000 0.5188 (multiplicity 2)
6 C 0.0424 0.0000 0.7005 (multiplicity 2)
7 C 0.1645 0.0000 0.7988 (multiplicity 2)
8 C 0.1788 0.5000 0.3356 (multiplicity 2)
9 C 0.2118 0.0000 0.5248 (multiplicity 2)
10 C 0.3304 0.0000 0.6448 (multiplicity 2)
11 C 0.3563 0.5000 0.1914 (multiplicity 2)
12 C 0.3841 0.0000 0.3848 (multiplicity 2)



no.,distance to the lowest polymorph of the same formula (eV per atom)
1,1.5201
2,0.1071